The following is a PBE calculation of a relaxed Co2MoPb crystal, from Alexandria.

## Properties
Formation energy: 0.885 eV/atom
Fermi-level density of states: 0.47 states/eV per atom

Geometry as CIF:
```
data_Co2MoPb
_chemical_formula_sum 'Co8 Mo4 Pb4'
_symmetry_space_group_name_H-M 'I -4 2 d'
_symmetry_Int_Tables_number 122
_symmetry_space_group_name_Hall 'I -4 2bw'
_cell_length_a 4.1185
_cell_length_b 4.1185
_cell_length_c 16.1764
_cell_angle_alpha 90.00
_cell_angle_beta 90.00
_cell_angle_gamma 90.00
loop_
_atom_site_label
_atom_site_type_symbol
_atom_site_fract_x
_atom_site_fract_y
_atom_site_fract_z
Co1 Co 0.1924 0.2500 0.1250
Mo1 Mo 0.0000 0.0000 0.0000
Pb1 Pb 0.0000 0.0000 0.5000
```